Entry 1:
DFT (PBE) results for Ti3NbIr after structural relaxation.

total DFT energy (no corrections)	-40.029	eV for the cell shown
crystal system	cubic
total moment	0.0	μB/f.u.
distance to the lowest polymorph of the same formula	0.920	eV/atom

Structure (CIF):
```
data_Ti3NbIr
_cell_length_a 4.7004
_cell_length_b 4.7004
_cell_length_c 4.7004
_cell_angle_alpha 90.00
_cell_angle_beta 90.00
_cell_angle_gamma 90.00
_space_group_name_H-M_alt 'P m -3 m'
_space_group_IT_number 221
_space_group_name_Hall '-P 4 2 3'
loop_
_atom_site_label
_atom_site_type_symbol
_atom_site_fract_x
_atom_site_fract_y
_atom_site_fract_z
Ti1 Ti 0.0000 0.0000 0.5000
Nb1 Nb 0.5000 0.5000 0.5000
Ir1 Ir 0.0000 0.0000 0.0000
```

Entry 2:
DFT (PBE) results for Ti12Nb6Ir after structural relaxation.

total DFT energy (no corrections)	-493.781	eV for the cell shown
crystal system	trigonal
total moment	0.0	μB/f.u.

Structure (CIF):
```
data_Ti12Nb6Ir
_cell_length_a 9.7736
_cell_length_b 9.7736
_cell_length_c 12.2103
_cell_angle_alpha 90.00
_cell_angle_beta 90.00
_cell_angle_gamma 120.00
_space_group_name_H-M_alt 'R -3'
_space_group_IT_number 148
_space_group_name_Hall '-R 3'
loop_
_atom_site_label
_atom_site_type_symbol
_atom_site_fract_x
_atom_site_fract_y
_atom_site_fract_z
Ti1 Ti 0.0326 0.8510 0.3045
Ti2 Ti 0.0597 0.2095 0.9159
Nb1 Nb 0.0269 0.5980 0.2027
Ir1 Ir 0.0000 0.0000 0.5000
```

Entry 3:
DFT (PBE) results for TiNb3Ir after structural relaxation.

total DFT energy (no corrections)	-42.112	eV for the cell shown
crystal system	cubic
total moment	0.0	μB/f.u.
distance to the lowest polymorph of the same formula	0.000	eV/atom

Structure (CIF):
```
data_TiNb3Ir
_cell_length_a 4.8498
_cell_length_b 4.8498
_cell_length_c 4.8498
_cell_angle_alpha 90.00
_cell_angle_beta 90.00
_cell_angle_gamma 90.00
_space_group_name_H-M_alt 'P m -3 m'
_space_group_IT_number 221
_space_group_name_Hall '-P 4 2 3'
loop_
_atom_site_label
_atom_site_type_symbol
_atom_site_fract_x
_atom_site_fract_y
_atom_site_fract_z
Ti1 Ti 0.0000 0.0000 0.0000
Nb1 Nb 0.0000 0.5000 0.5000
Ir1 Ir 0.5000 0.5000 0.5000
```

Entry 4:
DFT (PBE) results for TiNb14Ir after structural relaxation.

total DFT energy (no corrections)	-318.925	eV for the cell shown
crystal system	orthorhombic
total moment	0.0	μB/f.u.

Structure (CIF):
```
data_TiNb14Ir
_cell_length_a 6.5954
_cell_length_b 9.3131
_cell_length_c 9.2829
_cell_angle_alpha 90.00
_cell_angle_beta 90.00
_cell_angle_gamma 90.00
_space_group_name_H-M_alt 'C m m m'
_space_group_IT_number 65
_space_group_name_Hall '-C 2 2'
loop_
_atom_site_label
_atom_site_type_symbol
_atom_site_fract_x
_atom_site_fract_y
_atom_site_fract_z
Ti1 Ti 0.0000 0.0000 0.0000
Nb1 Nb 0.0000 0.0000 0.5000
Nb2 Nb 0.0000 0.2476 0.2453
Nb3 Nb 0.0000 0.5000 0.5000
Nb4 Nb 0.2482 0.5000 0.2453
Nb5 Nb 0.2500 0.2500 0.0000
Nb6 Nb 0.2500 0.2500 0.5000
Ir1 Ir 0.0000 0.5000 0.0000
```

Entry 5:
DFT (PBE) results for TiNb2Ir5 after structural relaxation.

total DFT energy (no corrections)	-154.297	eV for the cell shown
crystal system	orthorhombic
total moment	0.0	μB/f.u.

Structure (CIF):
```
data_TiNb2Ir5
_cell_length_a 5.5864
_cell_length_b 11.1270
_cell_length_c 3.9862
_cell_angle_alpha 90.00
_cell_angle_beta 90.00
_cell_angle_gamma 90.00
_space_group_name_H-M_alt 'P b a m'
_space_group_IT_number 55
_space_group_name_Hall '-P 2 2ab'
loop_
_atom_site_label
_atom_site_type_symbol
_atom_site_fract_x
_atom_site_fract_y
_atom_site_fract_z
Ti1 Ti 0.0000 0.0000 0.0000
Nb1 Nb 0.2118 0.3645 0.5000
Ir1 Ir 0.0000 0.5000 0.0000
Ir2 Ir 0.0245 0.7517 0.0000
Ir3 Ir 0.2272 0.1183 0.5000
```

Entry 6:
DFT (PBE) results for TiNb2Ir2 after structural relaxation.

total DFT energy (no corrections)	-94.169	eV for the cell shown
crystal system	tetragonal
total moment	1.2	μB/f.u.
distance to the lowest polymorph of the same formula	0.091	eV/atom

Structure (CIF):
```
data_TiNb2Ir2
_cell_length_a 7.7466
_cell_length_b 7.7466
_cell_length_c 2.8935
_cell_angle_alpha 90.00
_cell_angle_beta 90.00
_cell_angle_gamma 90.00
_space_group_name_H-M_alt 'P 4/m b m'
_space_group_IT_number 127
_space_group_name_Hall '-P 4 2ab'
loop_
_atom_site_label
_atom_site_type_symbol
_atom_site_fract_x
_atom_site_fract_y
_atom_site_fract_z
Ti1 Ti 0.0000 0.0000 0.0000
Nb1 Nb 0.1561 0.3439 0.0000
Ir1 Ir 0.1407 0.6407 0.5000
```